# GGA-PBE U3Os, optimized geometry
# - Uncorrected energy: -91.07 eV per cell
# - E_form: -0.111 eV per atom
# - Volume: 19.2 A^3/atom
# - Calculated density: 19.6 g/cm3
data_U3Os
_chemical_formula_sum 'U6 Os2'
_symmetry_space_group_name_H-M 'P -1'
_symmetry_Int_Tables_number 2
_cell_length_a 4.8789
_cell_length_b 5.2687
_cell_length_c 6.1230
_cell_angle_alpha 102.18
_cell_angle_beta 91.11
_cell_angle_gamma 94.27
loop_
_symmetry_equiv_pos_as_xyz
'x,y,z'
'-x,-y,-z'
loop_
_atom_site_label
_atom_site_fract_x
_atom_site_fract_y
_atom_site_fract_z
_atom_site_occupancy
U1 0.2148 0.3467 0.0597 1
U2 0.2526 0.8598 0.8167 1
U3 0.2629 0.3883 0.5743 1
Os1 0.2605 0.8662 0.3255 1

# GGA-PBE FeOsSe2, optimized geometry
# - Excess energy over the best structure of this formula in the dataset: 0.9993 eV/atom
# - Uncorrected energy: -90.89 eV per cell
# - Volume: 16.2 A^3/atom
# - Calculated density: 10.3 g/cm3
# - Formation energy (no corrections): 0.984 eV/atom
data_FeOsSe2
_chemical_formula_sum 'Fe4 Os4 Se8'
_symmetry_space_group_name_H-M 'F -4 3 m'
_symmetry_Int_Tables_number 216
_symmetry_space_group_name_Hall 'F -4 2 3'
_cell_length_a 6.3778
_cell_length_b 6.3778
_cell_length_c 6.3778
_cell_angle_alpha 90.00
_cell_angle_beta 90.00
_cell_angle_gamma 90.00
loop_
_atom_site_label
_atom_site_fract_x
_atom_site_fract_y
_atom_site_fract_z
_atom_site_occupancy
Fe1 0.0000 0.0000 0.0000 1
Os1 0.2500 0.2500 0.7500 1
Se1 0.0000 0.0000 0.5000 1
Se2 0.2500 0.2500 0.2500 1

# GGA-PBE MnCrIr4, optimized geometry
# - Uncorrected energy: -209.07 eV per cell
# - E_form: 0.328 eV per atom
# - Volume: 16.2 A^3/atom
# - Calculated density: 15.0 g/cm3
data_MnCrIr4
_chemical_formula_sum 'Mn4 Cr4 Ir16'
_symmetry_space_group_name_H-M 'F -4 3 m'
_symmetry_Int_Tables_number 216
_symmetry_space_group_name_Hall 'F -4 2 3'
_cell_length_a 7.2959
_cell_length_b 7.2959
_cell_length_c 7.2959
_cell_angle_alpha 90.00
_cell_angle_beta 90.00
_cell_angle_gamma 90.00
loop_
_atom_site_label
_atom_site_fract_x
_atom_site_fract_y
_atom_site_fract_z
_atom_site_occupancy
Mn1 0.0000 0.0000 0.0000 1
Cr1 0.2500 0.2500 0.7500 1
Ir1 0.1250 0.1250 0.3750 1

# GGA-PBE CaCu2, optimized geometry
# - Uncorrected energy: -7.43 eV per cell
# - E_form: 0.922 eV per atom
# - Volume: 30.3 A^3/atom
# - Calculated density: 3.0 g/cm3
data_CaCu2
_chemical_formula_sum 'Ca1 Cu2'
_symmetry_space_group_name_H-M 'P 4/m m m'
_symmetry_Int_Tables_number 123
_symmetry_space_group_name_Hall '-P 4 2'
_cell_length_a 4.0382
_cell_length_b 4.0382
_cell_length_c 5.5828
_cell_angle_alpha 90.00
_cell_angle_beta 90.00
_cell_angle_gamma 90.00
loop_
_atom_site_label
_atom_site_fract_x
_atom_site_fract_y
_atom_site_fract_z
_atom_site_occupancy
Ca1 0.0000 0.0000 0.0000 1
Cu1 0.0000 0.0000 0.5000 1
Cu2 0.5000 0.5000 0.0000 1

# GGA-PBE V4Ni6Ir7, optimized geometry
# - Uncorrected energy: -266.48 eV per cell
# - E_form: -0.003 eV per atom
# - Volume: 13.7 A^3/atom
# - Calculated density: 13.5 g/cm3
data_V4Ni6Ir7
_chemical_formula_sum 'V8 Ni12 Ir14'
_symmetry_space_group_name_H-M 'I m -3 m'
_symmetry_Int_Tables_number 229
_symmetry_space_group_name_Hall '-I 4 2 3'
_cell_length_a 7.7534
_cell_length_b 7.7534
_cell_length_c 7.7534
_cell_angle_alpha 90.00
_cell_angle_beta 90.00
_cell_angle_gamma 90.00
loop_
_atom_site_label
_atom_site_fract_x
_atom_site_fract_y
_atom_site_fract_z
_atom_site_occupancy
V1 0.2500 0.2500 0.2500 1
Ni1 0.0000 0.0000 0.2967 1
Ir1 0.0000 0.0000 0.0000 1
Ir2 0.0000 0.2500 0.5000 1

# GGA-PBE Ce6SiGe3, optimized geometry
# - Uncorrected energy: -118.53 eV per cell
# - Volume: 27.4 A^3/atom
# - Calculated density: 6.6 g/cm3
# - Formation energy (no corrections): -0.439 eV/atom
data_Ce6SiGe3
_chemical_formula_sum 'Ce12 Si2 Ge6'
_symmetry_space_group_name_H-M 'P 1 21/c 1'
_symmetry_Int_Tables_number 14
_cell_length_a 7.3161
_cell_length_b 8.1779
_cell_length_c 11.7083
_cell_angle_alpha 90.00
_cell_angle_beta 128.54
_cell_angle_gamma 90.00
loop_
_symmetry_equiv_pos_as_xyz
'x,y,z'
'-x,-y,-z'
'-x,y+1/2,-z+1/2'
'x,-y+1/2,z+1/2'
loop_
_atom_site_label
_atom_site_fract_x
_atom_site_fract_y
_atom_site_fract_z
_atom_site_occupancy
Ce1 0.0389 0.0976 0.2476 1
Ce2 0.2372 0.6829 0.0752 1
Ce3 0.4069 0.1795 0.0751 1
Si1 0.0000 0.0000 0.0000 1
Ge1 0.2908 0.1176 0.7505 1
Ge2 0.5000 0.0000 0.5000 1